First-principles (PBE-GGA) data for a relaxed structure of Y3CoW, as listed in Alexandria via LeMat-Bulk.

Cell: 5.360 5.360 5.360 Å, 90.00 90.00 90.00°
Fractional coordinates of all 5 atoms:
Y 0.000 0.500 0.000
Y 0.000 0.000 0.500
Y 0.500 0.000 0.000
W 0.000 0.000 0.000
Co 0.500 0.500 0.500

Values from the calculation:
As for the crystal system: cubic. Its magnetic moment is 1.52 Bohr magnetons per cell. As for the energy of formation from the pure elements: 1.06 eV per atom.


First-principles (PBE-GGA) data for a relaxed structure of Li2Tl, as listed in Alexandria via LeMat-Bulk.

Cell: 5.499 5.499 6.633 Å, 72.63 72.63 39.88°
Fractional coordinates of all 6 atoms:
Tl 0.299 0.299 0.934
Tl 0.645 0.645 0.677
Li 0.636 0.636 0.235
Li 0.955 0.955 0.577
Li 0.990 0.990 0.034
Li 0.308 0.308 0.377

Values from the calculation:
As for the crystal system: monoclinic. Its magnetic moment is 0.00 Bohr magnetons per cell. As for the energy of formation from the pure elements: -0.17 eV per atom.


First-principles (PBE-GGA) data for a relaxed structure of Pm2SnGe2Rh5, as listed in Alexandria via LeMat-Bulk.

Cell: 3.659 9.938 9.938 Å, 90.00 90.00 90.00°
Fractional coordinates of all 20 atoms:
Rh 0.500 0.000 0.500
Rh 0.500 0.068 0.786
Rh 0.500 0.786 0.932
Rh 0.500 0.932 0.214
Rh 0.500 0.568 0.714
Rh 0.500 0.286 0.568
Rh 0.500 0.714 0.432
Rh 0.500 0.214 0.068
Rh 0.500 0.500 0.000
Rh 0.500 0.432 0.286
Pm 0.000 0.324 0.824
Pm 0.000 0.824 0.676
Pm 0.000 0.676 0.176
Pm 0.000 0.176 0.324
Ge 0.000 0.379 0.121
Ge 0.000 0.879 0.379
Ge 0.000 0.621 0.879
Ge 0.000 0.121 0.621
Sn 0.000 0.500 0.500
Sn 0.000 0.000 0.000

Values from the calculation:
As for the crystal system: tetragonal. Its magnetic moment is 0.00 Bohr magnetons per cell. As for the energy of formation from the pure elements: -0.77 eV per atom.


First-principles (PBE-GGA) data for a relaxed structure of CsCaAu2S, as listed in Alexandria via LeMat-Bulk.

Cell: 6.028 5.393 6.028 Å, 90.00 90.00 90.00°
Fractional coordinates of all 5 atoms:
Ca 0.500 0.500 0.500
S 0.000 0.500 0.000
Au 0.500 0.000 0.000
Au 0.000 0.000 0.500
Cs 0.000 0.000 0.000

Values from the calculation:
The formation energy (no corrections) comes out at 526.5 meV/atom. As for the crystal system: tetragonal. Its magnetic moment is 0.00 Bohr magnetons per cell.


- What is the magnetic moment in the first record?
  1.52 Bohr magnetons per cell